Entry 1:
First-principles (GGA-PBE) data for a geometry-optimized HgB2W structure, as listed in the Open Quantum Materials Database.

a = 4.2580 Å, b = 4.2580 Å, c = 4.2580 Å
α = 60.00°, β = 60.00°, γ = 60.00°
Positions (direct):
1 W 0.7500 0.7500 0.7500
2 B 0.2500 0.2500 0.2500
3 B 0.0000 0.0000 0.0000
4 Hg 0.5000 0.5000 0.5000

## Properties
- Uncorrected energy: -4.507 eV per atom
- Crystal system: cubic

---

Entry 2:
First-principles (GGA-PBE) data for a geometry-optimized HgB4W structure, as listed in the Open Quantum Materials Database.

a = 4.8769 Å, b = 4.8769 Å, c = 4.8769 Å
α = 143.52°, β = 114.87°, γ = 77.01°
Positions (direct):
1 B 0.9072 0.2439 0.6633
2 B 0.4194 0.7561 0.6633
3 Hg 0.0000 0.0000 0.0000
4 B 0.0928 0.7561 0.3367
5 B 0.5806 0.2439 0.3367
6 W 0.5000 0.5000 0.0000

## Properties
- Uncorrected energy: -6.074 eV per atom
- Crystal system: orthorhombic